Density functional theory data (PBE-GGA) for an optimized crystal structure of La2TbNd2.

**Relative energy among the computed polymorphs**: 41.9 meV per atom

```
La2TbNd2
1.0
5.534 0.000 0.000
0.000 3.569 0.000
-2.751 0.000 8.884
La Tb Nd
2 1 2
Cartesian
0.007 0.000 3.499
2.776 0.000 5.385
0.000 0.000 0.000
0.012 1.784 7.107
2.771 1.784 1.777
```

Density functional theory data (PBE-GGA) for an optimized crystal structure of Er3NiBi.

**Relative energy among the computed polymorphs**: 0.0 meV per atom

```
Er3NiBi
1.0
6.166 -2.553 0.000
6.166 2.553 0.000
-4.617 0.000 8.419
Er Ni Bi
6 2 2
Cartesian
0.306 0.000 2.034
-1.420 0.000 5.733
4.332 0.000 0.568
3.382 0.000 7.852
9.134 0.000 2.687
7.409 0.000 6.385
-2.856 0.000 8.186
10.571 0.000 0.233
2.231 0.000 4.744
5.484 0.000 3.675
```

For each record above, in turn, the calculated Fermi-level density of states values are 1.687 0.520 states/eV/atom.
For each record above, in turn, the calculated ΔE_f values are 0.063 -0.433 eV/atom.